Below is an optimized crystal structure of Zr3CrW, with properties calculated at the PBE level.

Results
Theoretical density (g/cm³): 7.92
Energy above the lowest structure with this stoichiometry (eV per formula unit): 0.00
Energy of formation from the pure elements (eV per atom): 1.0000
DOS at the Fermi energy (states/eV per cell): 6.8
Calculated volume (Å³ per cell): 107

Cell lengths 4.745, 4.745, 4.745 Å; angles 90.00, 90.00, 90.00 degrees
Fractional coordinates of all 5 atoms:
Zr: 0.000 0.000 0.500
Zr: 0.000 0.500 0.000
Zr: 0.500 0.000 0.000
Cr: 0.000 0.000 0.000
W: 0.500 0.500 0.500



Below is an optimized crystal structure of Mn2TlCrB, with properties calculated at the PBE level.

Results
Theoretical density (g/cm³): 4.72
Energy of formation from the pure elements (eV per atom): 2.2121
DOS at the Fermi energy (states/eV per cell): 4.6
Calculated volume (Å³ per cell): 133

Cell lengths 5.065, 5.065, 5.166 Å; angles 90.00, 90.00, 90.00 degrees
Fractional coordinates of all 5 atoms:
Mn: 0.000 0.500 0.000
Mn: 0.500 0.000 0.000
Tl: 0.000 0.000 0.000
Cr: 0.000 0.000 0.500
B: 0.500 0.500 0.500



Below is an optimized crystal structure of Al2Cu17, with properties calculated at the PBE level.

Results
Theoretical density (g/cm³): 7.59
Energy of formation from the pure elements (eV per atom): 0.0801
DOS at the Fermi energy (states/eV per cell): 5.2
Calculated volume (Å³ per cell): 248

Cell lengths 6.357, 6.357, 6.357 Å; angles 80.91, 80.91, 80.91 degrees
Fractional coordinates of all 19 atoms:
Al: 0.132 0.132 0.132
Al: 0.868 0.868 0.868
Cu: 0.000 0.500 0.500
Cu: 0.159 0.159 0.666
Cu: 0.159 0.666 0.159
Cu: 0.178 0.500 0.822
Cu: 0.178 0.822 0.500
Cu: 0.334 0.841 0.841
Cu: 0.403 0.403 0.403
Cu: 0.500 0.000 0.500
Cu: 0.500 0.178 0.822
Cu: 0.500 0.500 0.000
Cu: 0.500 0.822 0.178
Cu: 0.597 0.597 0.597
Cu: 0.666 0.159 0.159
Cu: 0.822 0.178 0.500
Cu: 0.822 0.500 0.178
Cu: 0.841 0.334 0.841
Cu: 0.841 0.841 0.334



Below is an optimized crystal structure of SiHgIF6, with properties calculated at the PBE level.

Results
Theoretical density (g/cm³): 4.61
Electronic total energy (eV per atom): -4.21
Calculated volume (Å³ per cell): 169

Cell lengths 5.518, 5.556, 6.208 Å; angles 85.20, 72.91, 68.42 degrees
Fractional coordinates of all 9 atoms:
Si: 0.000 0.000 0.000
Hg: 0.555 0.713 0.203
I: 0.450 0.453 0.572
F: 0.173 0.684 0.055
F: 0.206 0.096 0.103
F: 0.211 0.959 0.731
F: 0.774 0.027 0.269
F: 0.785 0.887 0.908
F: 0.824 0.308 0.947